Computed, not measured: an optimized crystal structure of RbUMn2Te4 at the PBE level of DFT.

Cell and atoms, written as CIF:
```
data_RbUMn2Te4
_cell_length_a 4.860
_cell_length_b 9.228
_cell_length_c 14.005
_cell_angle_alpha 90.00
_cell_angle_beta 90.00
_cell_angle_gamma 90.00
_symmetry_space_group_name_H-M 'I 2 2 2'
_symmetry_Int_Tables_number 23
_symmetry_space_group_name_Hall 'I 2 2'
loop_
_atom_site_label
_atom_site_fract_x
_atom_site_fract_y
_atom_site_fract_z
Rb1 0.000 0.000 0.000
U1 0.000 0.000 0.500
Mn1 0.000 0.500 0.071
Te1 0.235 0.203 0.353
```

Properties
Spin magnetization, μB/cell: 0.0
Density of states at the Fermi level, states/eV/f.u.: 7.129
Formation energy from raw total energies, eV/atom: -0.119

Computed, not measured: an optimized crystal structure of CaPdS2O8 at the PBE level of DFT.

Cell and atoms, written as CIF:
```
data_CaPdS2O8
_cell_length_a 5.2027
_cell_length_b 5.2027
_cell_length_c 7.0669
_cell_angle_alpha 90.00
_cell_angle_beta 90.00
_cell_angle_gamma 120.00
_symmetry_space_group_name_H-M 'P -3 m 1'
_symmetry_Int_Tables_number 164
_symmetry_space_group_name_Hall '-P 3 2"'
loop_
_atom_site_label
_atom_site_fract_x
_atom_site_fract_y
_atom_site_fract_z
Ca1 0.0000 0.0000 0.0000
Pd1 0.0000 0.0000 0.5000
S1 0.3333 0.6667 0.2102
O1 0.1754 0.3508 0.2748
O2 0.3333 0.6667 0.0013
```

Properties
Spin magnetization, μB/cell: 2.0
Formation energy from raw total energies, eV/atom: -1.460

Computed, not measured: an optimized crystal structure of PrThZn at the PBE level of DFT.

Cell and atoms, written as CIF:
```
data_PrThZn
_cell_length_a 6.309
_cell_length_b 8.452
_cell_length_c 6.657
_cell_angle_alpha 90.00
_cell_angle_beta 90.00
_cell_angle_gamma 90.00
_symmetry_space_group_name_H-M 'P b c m'
_symmetry_Int_Tables_number 57
_symmetry_space_group_name_Hall '-P 2c 2b'
loop_
_atom_site_label
_atom_site_fract_x
_atom_site_fract_y
_atom_site_fract_z
Pr1 0.127 0.104 0.250
Th1 0.381 0.750 0.000
Zn1 0.308 0.055 0.750
```

Properties
Energy of formation, eV per atom: -0.056
Spin magnetization, μB/cell: 0.0
Density of states at the Fermi level, states/eV/f.u.: 3.737
Relative energy among the computed polymorphs, meV per atom: 47.8

Computed, not measured: an optimized crystal structure of MgSc2TcRh at the PBE level of DFT.

Cell and atoms, written as CIF:
```
data_MgSc2TcRh
_cell_length_a 4.762
_cell_length_b 4.762
_cell_length_c 4.882
_cell_angle_alpha 90.00
_cell_angle_beta 90.00
_cell_angle_gamma 90.00
_symmetry_space_group_name_H-M 'P 4/m m m'
_symmetry_Int_Tables_number 123
_symmetry_space_group_name_Hall '-P 4 2'
loop_
_atom_site_label
_atom_site_fract_x
_atom_site_fract_y
_atom_site_fract_z
Mg1 0.000 0.000 0.000
Sc1 0.000 0.500 0.500
Tc1 0.000 0.000 0.500
Rh1 0.500 0.500 0.000
```

Properties
Energy of formation, eV per atom: 0.480
Spin magnetization, μB/cell: 0.0
Density of states at the Fermi level, states/eV/f.u.: 2.024